No. 1
A plane-wave DFT calculation with PBE was carried out for a geometry-optimized Ho4AlHg2 structure.

Cell: 5.1322 5.1322 24.9723 Å, 90.00 90.00 120.00°
Space group R-3m (No. 166, hexagonal axes)
Symmetry-distinct sites (fractional):
Ho1 0.0000 0.0000 0.1216
Ho2 0.0000 0.0000 0.3736
Al1 0.0000 0.0000 0.5000
Hg1 0.0000 0.0000 0.2487

DFT formation energy: -0.2733 eV/atom
volume: 189.9 Å³/f.u.
M_tot: 0.000 μB per formula unit
energy above the lowest structure with this stoichiometry: 0.000 eV per atom



No. 2
A plane-wave DFT calculation with PBE was carried out for a geometry-optimized MgNbAsSe2 structure.

Cell: 4.850 4.850 4.885 Å, 90.00 90.00 90.00°
Space group P4/mmm (No. 123)
Symmetry-distinct sites (fractional):
Mg1 0.000 0.000 0.000
Nb1 0.500 0.500 0.500
As1 0.000 0.000 0.500
Se1 0.000 0.500 0.000

volume: 114.9 Å³/f.u.
formation energy without anion corrections: 337 kJ/mol of formula units
M_tot: 0.000 μB per formula unit
energy above the lowest structure with this stoichiometry: 0.804 eV per atom